CdTc2Ir after structural relaxation, computed with PBEsol.

```
CdTc2Ir
1.0
2.6328 -4.1836 0.0000
2.6328 4.1836 0.0000
0.0000 0.0000 2.7186
Cd Tc Ir
1 2 1
Direct
0.0000 0.0000 0.0000
0.0000 0.5000 0.5000
0.5000 0.0000 0.5000
0.5000 0.5000 0.0000
```

Calculated values
Space-group type = Cmmm (65)
Size of the total moment = 0.000 μB/atom
ΔE_f = 0.36 eV/atom